[1]
! La2CeGe3 | the Alexandria database | GGA-PBE | optimized geometry; values from VASP
&SYSTEM
  ibrav = 0, nat = 6, ntyp = 3
/
ATOMIC_SPECIES
La 138.91 La.upf
Ge 72.64 Ge.upf
Ce 140.12 Ce.upf
ATOMIC_POSITIONS angstrom
La -2.995 0.809 0.317
La -4.046 -3.363 0.511
Ge -3.633 -1.299 -1.848
Ge 0.000 0.000 0.000
Ge -3.409 -1.255 2.676
Ce -0.801 -2.168 -2.037
CELL_PARAMETERS angstrom
-2.628 2.856 -2.007
-1.602 -4.336 -4.074
-2.812 -1.075 6.909
! mass density = 6.0 g cm⁻³
! final energy = -33.4 eV/f.u.
! symmetry = Immm, No. 71
! E_form = -3.795 eV/f.u.

[2]
! LiGaSi | the Alexandria database | GGA-PBE | optimized geometry; values from VASP
&SYSTEM
  ibrav = 0, nat = 6, ntyp = 3
/
ATOMIC_SPECIES
Ga 69.72 Ga.upf
Si 28.09 Si.upf
Li 6.94 Li.upf
ATOMIC_POSITIONS angstrom
Ga 6.598 1.522 0.995
Ga 2.199 0.507 0.332
Si 0.000 0.000 0.000
Si 4.399 1.014 0.664
Li 2.368 -1.455 2.211
Li 6.074 2.088 3.606
CELL_PARAMETERS angstrom
-1.218 3.095 3.342
0.862 -4.491 1.147
8.797 2.029 1.327
! mass density = 2.0 g cm⁻³
! E_form (uncorrected) = 0.6920 eV/atom
! final energy = -8.3 eV/f.u.
! symmetry = P6_3/mmc, No. 194

[3]
! AsP2 | the Alexandria database | GGA-PBE | optimized geometry; values from VASP
&SYSTEM
  ibrav = 0, nat = 3, ntyp = 2
/
ATOMIC_SPECIES
P 30.97 P.upf
As 74.92 As.upf
ATOMIC_POSITIONS angstrom
P 2.071 1.196 1.666
P 0.000 2.391 1.666
As 0.000 0.000 0.000
CELL_PARAMETERS angstrom
4.142 0.000 0.000
-2.071 3.587 0.000
0.000 0.000 3.333
! mass density = 4.6 g cm⁻³
! final energy = -13.5 eV/f.u.
! symmetry = P6/mmm, No. 191
! E_form = 1.968 eV/f.u.
! energy above the most stable polymorph in this dataset = 546 meV/atom

[4]
! LaCeNdAg | the Alexandria database | GGA-PBE | optimized geometry; values from VASP
&SYSTEM
  ibrav = 0, nat = 4, ntyp = 4
/
ATOMIC_SPECIES
La 138.91 La.upf
Ce 140.12 Ce.upf
Nd 144.24 Nd.upf
Ag 107.87 Ag.upf
ATOMIC_POSITIONS angstrom
La 5.427 3.133 2.216
Ce 8.141 4.700 3.323
Nd 0.000 0.000 0.000
Ag 2.714 1.567 1.108
CELL_PARAMETERS angstrom
5.427 0.000 0.000
2.714 4.700 0.000
2.714 1.567 4.431
! mass density = 7.8 g cm⁻³
! final energy = -18.0 eV/f.u.
! symmetry = F-43m, No. 216
! E_form = 0.453 eV/f.u.

[5]
! La2DyTh | the Alexandria database | GGA-PBE | optimized geometry; values from VASP
&SYSTEM
  ibrav = 0, nat = 4, ntyp = 3
/
ATOMIC_SPECIES
La 138.91 La.upf
Dy 162.50 Dy.upf
Th 232.04 Th.upf
ATOMIC_POSITIONS angstrom
La -1.602 1.670 0.952
La -5.039 5.253 2.993
Dy -5.292 2.053 1.125
Th -1.972 -1.408 -0.847
CELL_PARAMETERS angstrom
-1.942 -0.116 -3.065
-2.002 -2.701 1.370
-6.641 6.923 3.945
! mass density = 8.2 g cm⁻³
! final energy = -21.7 eV/f.u.
! symmetry = P4/mmm, No. 123
! E_form = 0.196 eV/f.u.
! energy above the most stable polymorph in this dataset = 26 meV/atom

[6]
! Be10Ru3 | the Alexandria database | GGA-PBE | optimized geometry; values from VASP
&SYSTEM
  ibrav = 0, nat = 26, ntyp = 2
/
ATOMIC_SPECIES
Be 9.01 Be.upf
Ru 101.07 Ru.upf
ATOMIC_POSITIONS angstrom
Be -2.837 1.430 -1.515
Be -1.576 -2.293 -2.155
Be -5.078 -2.942 -4.751
Be -1.799 0.205 -4.739
Be -3.593 -4.593 -4.344
Be -3.039 -1.934 -4.774
Be -0.906 0.141 -2.602
Be -2.015 2.165 -3.596
Be -7.189 -0.988 -8.419
Be -6.033 2.614 -3.106
Be -4.057 2.992 -2.470
Be -6.285 0.622 -4.139
Be -3.162 0.037 -6.447
Be -0.190 -3.796 -5.294
Be -4.060 1.082 -4.256
Be -2.938 -0.505 -2.852
Be -2.937 4.317 -3.900
Be -5.395 -0.815 -5.889
Be -0.695 -1.732 -4.266
Be -1.724 -3.898 -3.654
Ru -6.716 2.486 -5.460
Ru -2.334 -0.679 -0.645
Ru -4.994 -1.066 -3.637
Ru -2.634 2.223 -5.736
Ru -4.454 -4.195 -6.608
Ru -1.373 -1.499 -6.376
CELL_PARAMETERS angstrom
-3.009 5.494 -2.840
0.557 -5.037 -4.649
-6.237 -1.839 -1.586
! mass density = 5.1 g cm⁻³
! final energy = -67.3 eV/f.u.
! symmetry = Cm, No. 8
! E_form = -2.175 eV/f.u.

[7]
! Be3RhPb | the Alexandria database | GGA-PBE | optimized geometry; values from VASP
&SYSTEM
  ibrav = 0, nat = 5, ntyp = 3
/
ATOMIC_SPECIES
Be 9.01 Be.upf
Rh 102.91 Rh.upf
Pb 207.20 Pb.upf
ATOMIC_POSITIONS angstrom
Be 2.163 0.000 0.000
Be 0.000 2.163 0.000
Be 0.000 0.000 2.163
Rh 0.000 0.000 0.000
Pb 2.163 2.163 2.163
CELL_PARAMETERS angstrom
4.326 0.000 0.000
0.000 4.326 0.000
0.000 0.000 4.326
! mass density = 6.9 g cm⁻³
! final energy = -20.8 eV/f.u.
! symmetry = Pm-3m, No. 221
! E_form = 1.442 eV/f.u.
! energy above the most stable polymorph in this dataset = 0 meV/atom

[8]
! Nd3Sc2 | the Alexandria database | GGA-PBE | optimized geometry; values from VASP
&SYSTEM
  ibrav = 0, nat = 10, ntyp = 2
/
ATOMIC_SPECIES
Sc 44.96 Sc.upf
Nd 144.24 Nd.upf
ATOMIC_POSITIONS angstrom
Sc 0.000 3.075 2.509
Sc 0.000 -1.330 3.263
Sc 3.125 5.735 2.509
Sc 3.125 1.330 3.263
Nd 0.000 5.790 0.724
Nd 4.688 0.000 0.000
Nd 3.125 -1.385 5.048
Nd 1.563 0.000 0.000
Nd 3.125 3.020 0.724
Nd 0.000 1.385 5.048
CELL_PARAMETERS angstrom
6.251 0.000 0.000
0.000 8.810 0.000
-3.125 -4.405 5.772
! mass density = 5.5 g cm⁻³
! final energy = -25.2 eV/f.u.
! symmetry = Ibam, No. 72
! E_form = 1.802 eV/f.u.

[9]
! Ce5As4C | the Alexandria database | GGA-PBE | optimized geometry; values from VASP
&SYSTEM
  ibrav = 0, nat = 10, ntyp = 3
/
ATOMIC_SPECIES
Ce 140.12 Ce.upf
As 74.92 As.upf
C 12.01 C.upf
ATOMIC_POSITIONS angstrom
Ce 2.951 4.090 1.183
Ce 5.905 5.299 4.090
Ce 5.905 1.183 2.392
Ce 2.731 0.000 0.000
Ce 8.858 2.392 5.299
As 5.907 3.926 1.376
As 5.907 2.557 5.106
As 8.861 5.106 3.926
As 2.954 1.376 2.557
C 0.296 0.000 0.000
CELL_PARAMETERS angstrom
5.908 0.000 0.000
2.954 6.483 0.000
2.954 0.000 6.483
! mass density = 6.8 g cm⁻³
! final energy = -68.4 eV/f.u.
! symmetry = I4, No. 79
! E_form = -10.863 eV/f.u.

[10]
! TmSi6Pt12 | the Alexandria database | GGA-PBE | optimized geometry; values from VASP
&SYSTEM
  ibrav = 0, nat = 19, ntyp = 3
/
ATOMIC_SPECIES
Pt 195.08 Pt.upf
Tm 168.93 Tm.upf
Si 28.09 Si.upf
ATOMIC_POSITIONS angstrom
Pt -0.406 1.770 2.492
Pt -1.746 4.778 3.007
Pt 5.062 -0.508 3.007
Pt 1.500 4.225 3.522
Pt 1.815 0.045 2.492
Pt -1.746 1.264 5.502
Pt 1.815 2.338 0.864
Pt 5.062 3.006 0.512
Pt 3.722 2.501 3.522
Pt 1.658 5.649 0.512
Pt 1.500 1.932 5.150
Pt 1.658 -1.379 5.502
Tm 0.000 0.000 0.000
Si 3.281 0.184 4.541
Si 3.950 1.046 1.473
Si 0.034 0.044 4.343
Si -0.635 3.225 4.541
Si 3.281 4.227 1.671
Si 0.034 4.086 1.473
CELL_PARAMETERS angstrom
7.170 -0.155 -0.218
-1.927 6.907 -0.218
-1.927 -2.482 6.450
! mass density = 14.4 g cm⁻³
! E_form (uncorrected) = -0.6251 eV/atom
! final energy = -121.4 eV/f.u.
! symmetry = R-3m, No. 166

[11]
! ZrIn2Os | the Alexandria database | GGA-PBE | optimized geometry; values from VASP
&SYSTEM
  ibrav = 0, nat = 4, ntyp = 3
/
ATOMIC_SPECIES
In 114.82 In.upf
Os 190.23 Os.upf
Zr 91.22 Zr.upf
ATOMIC_POSITIONS angstrom
In 0.000 0.000 0.244
In 0.000 0.000 3.438
Os 1.630 1.630 1.841
Zr 1.630 1.630 5.523
CELL_PARAMETERS angstrom
3.260 0.000 0.000
0.000 3.260 0.000
0.000 0.000 7.364
! mass density = 10.8 g cm⁻³
! final energy = -24.7 eV/f.u.
! symmetry = P4/mmm, No. 123
! E_form = 0.570 eV/f.u.

[12]
! Ca3MoW | the Alexandria database | GGA-PBE | optimized geometry; values from VASP
&SYSTEM
  ibrav = 0, nat = 5, ntyp = 3
/
ATOMIC_SPECIES
Ca 40.08 Ca.upf
W 183.84 W.upf
Mo 95.94 Mo.upf
ATOMIC_POSITIONS angstrom
Ca 2.616 0.000 0.000
Ca 0.000 0.000 2.616
Ca 0.000 2.616 0.000
W 2.616 2.616 2.616
Mo 0.000 0.000 0.000
CELL_PARAMETERS angstrom
5.232 0.000 0.000
0.000 5.232 0.000
0.000 0.000 5.232
! mass density = 4.6 g cm⁻³
! final energy = -19.8 eV/f.u.
! symmetry = Pm-3m, No. 221
! E_form = 10.026 eV/f.u.
! energy above the most stable polymorph in this dataset = 0 meV/atom

[13]
! Ac2MgZnPt6 | the Alexandria database | GGA-PBE | optimized geometry; values from VASP
&SYSTEM
  ibrav = 0, nat = 10, ntyp = 4
/
ATOMIC_SPECIES
Pt 195.08 Pt.upf
Ac 227.00 Ac.upf
Mg 24.30 Mg.upf
Zn 65.41 Zn.upf
ATOMIC_POSITIONS angstrom
Pt -6.682 -2.591 -0.604
Pt -4.522 -1.046 -2.690
Pt -9.819 -1.321 -0.143
Pt -5.346 0.385 0.253
Pt -4.405 -2.415 1.883
Pt -8.483 1.654 0.713
Ac -7.642 0.220 -2.245
Ac -7.524 -1.157 2.354
Mg 0.000 0.000 0.000
Zn -4.464 -1.731 -0.403
CELL_PARAMETERS angstrom
-4.582 -0.353 -5.003
-4.345 -3.108 4.196
-6.238 2.524 0.916
! mass density = 12.9 g cm⁻³
! final energy = -51.4 eV/f.u.
! symmetry = I4/mmm, No. 139
! E_form = -4.062 eV/f.u.

[14]
! Co2SbSe | the Alexandria database | GGA-PBE | optimized geometry; values from VASP
&SYSTEM
  ibrav = 0, nat = 4, ntyp = 3
/
ATOMIC_SPECIES
Sb 121.76 Sb.upf
Se 78.96 Se.upf
Co 58.93 Co.upf
ATOMIC_POSITIONS angstrom
Sb 1.290 -2.394 -0.033
Se 2.535 0.363 -0.915
Co 1.156 -1.332 -2.531
Co 0.000 0.000 0.000
CELL_PARAMETERS angstrom
-0.089 -4.088 -1.650
2.402 1.425 -3.413
2.669 -0.699 1.584
! mass density = 8.6 g cm⁻³
! E_form (uncorrected) = 0.3083 eV/atom
! final energy = -20.6 eV/f.u.
! symmetry = Cmmm, No. 65

[15]
! Ac2HoAgTe5 | the Alexandria database | GGA-PBE | optimized geometry; values from VASP
&SYSTEM
  ibrav = 0, nat = 18, ntyp = 4
/
ATOMIC_SPECIES
Ho 164.93 Ho.upf
Te 127.60 Te.upf
Ac 227.00 Ac.upf
Ag 107.87 Ag.upf
ATOMIC_POSITIONS angstrom
Ho 2.271 6.004 6.900
Ho 0.000 3.738 0.137
Te 0.000 6.880 0.017
Te 2.271 3.813 11.481
Te 2.271 4.138 2.222
Te 0.000 5.604 8.986
Te 0.000 9.723 10.515
Te 2.271 8.862 7.696
Te 0.000 0.880 0.932
Te 2.271 0.019 3.751
Te 0.000 5.929 4.717
Te 2.271 2.862 6.780
Ac 0.000 2.435 4.170
Ac 2.271 7.568 2.539
Ac 0.000 2.174 9.303
Ac 2.271 7.307 10.934
Ag 0.000 8.402 6.186
Ag 2.271 1.341 12.950
CELL_PARAMETERS angstrom
4.541 0.000 0.000
-2.271 9.742 0.000
0.000 0.000 13.527
! mass density = 7.6 g cm⁻³
! E_form (uncorrected) = -1.3064 eV/atom
! final energy = -43.1 eV/f.u.
! symmetry = Cmc2_1, No. 36

[16]
! InTcAg | the Alexandria database | GGA-PBE | optimized geometry; values from VASP
&SYSTEM
  ibrav = 0, nat = 3, ntyp = 3
/
ATOMIC_SPECIES
In 114.82 In.upf
Tc 98.00 Tc.upf
Ag 107.87 Ag.upf
ATOMIC_POSITIONS angstrom
In 4.570 0.715 2.051
Tc 8.661 1.786 1.238
Ag 0.721 -0.293 2.816
CELL_PARAMETERS angstrom
6.653 0.011 -0.008
6.009 2.822 0.452
0.644 -0.313 2.831
! mass density = 9.9 g cm⁻³
! final energy = -14.6 eV/f.u.
! symmetry = I4mm, No. 107
! E_form = 1.346 eV/f.u.
! energy above the most stable polymorph in this dataset = 0 meV/atom

[17]
! Zn2AsSe | the Alexandria database | GGA-PBE | optimized geometry; values from VASP
&SYSTEM
  ibrav = 0, nat = 4, ntyp = 3
/
ATOMIC_SPECIES
Zn 65.41 Zn.upf
Se 78.96 Se.upf
As 74.92 As.upf
ATOMIC_POSITIONS angstrom
Zn 0.000 0.000 7.267
Zn 0.000 0.000 3.667
Se 0.979 1.554 5.467
As 0.979 1.554 1.822
CELL_PARAMETERS angstrom
3.573 -0.080 0.000
-1.615 3.188 0.000
0.000 0.000 7.289
! mass density = 5.8 g cm⁻³
! E_form (uncorrected) = 0.0881 eV/atom
! final energy = -10.3 eV/f.u.
! symmetry = Cmmm, No. 65

[18]
! DyH4Ru | the Alexandria database | GGA-PBE | optimized geometry; values from VASP
&SYSTEM
  ibrav = 0, nat = 12, ntyp = 3
/
ATOMIC_SPECIES
H 1.01 H.upf
Ru 101.07 Ru.upf
Dy 162.50 Dy.upf
ATOMIC_POSITIONS angstrom
H 3.573 1.438 0.849
H 0.954 0.607 0.318
H 4.432 0.644 -1.093
H 0.367 -0.900 3.065
H 3.846 -0.863 1.653
H 1.226 -1.694 1.122
H 2.812 -0.902 -2.772
H 1.988 0.646 4.743
Ru 0.091 -0.465 1.395
Ru 4.708 0.209 0.576
Dy 2.444 -1.060 -0.604
Dy 2.356 0.804 2.575
CELL_PARAMETERS angstrom
-1.041 -2.649 4.847
3.472 -1.881 -4.640
2.368 4.274 1.764
! mass density = 7.3 g cm⁻³
! final energy = -29.7 eV/f.u.
! symmetry = C2/c, No. 15
! energy above the most stable polymorph in this dataset = 0 meV/atom

[19]
! Ce3Mn2C3 | the Alexandria database | GGA-PBE | optimized geometry; values from VASP
&SYSTEM
  ibrav = 0, nat = 16, ntyp = 3
/
ATOMIC_SPECIES
Ce 140.12 Ce.upf
Mn 54.94 Mn.upf
C 12.01 C.upf
ATOMIC_POSITIONS angstrom
Ce 0.000 4.015 9.103
Ce 1.651 1.528 3.034
Ce 1.651 4.910 1.415
Ce 0.000 0.634 10.722
Ce 0.000 0.634 7.484
Ce 1.651 4.910 4.654
Mn 1.651 2.973 7.026
Mn 1.651 2.973 11.181
Mn 0.000 2.570 0.957
Mn 0.000 2.570 5.112
C 0.000 3.972 11.697
C 0.000 3.425 3.034
C 1.651 1.572 0.441
C 1.651 1.572 5.628
C 1.651 2.119 9.103
C 0.000 3.972 6.510
CELL_PARAMETERS angstrom
3.302 0.000 0.000
-1.651 5.544 0.000
0.000 0.000 12.138
! mass density = 8.5 g cm⁻³
! final energy = -64.4 eV/f.u.
! symmetry = Cmcm, No. 63
! E_form = -0.576 eV/f.u.

[20]
! SrPaSi2 | the Alexandria database | GGA-PBE | optimized geometry; values from VASP
&SYSTEM
  ibrav = 0, nat = 4, ntyp = 3
/
ATOMIC_SPECIES
Sr 87.62 Sr.upf
Pa 231.04 Pa.upf
Si 28.09 Si.upf
ATOMIC_POSITIONS angstrom
Sr -0.319 3.730 4.808
Pa 0.000 0.000 0.000
Si -0.465 1.707 2.243
Si -0.173 5.753 7.372
CELL_PARAMETERS angstrom
-2.434 3.488 1.189
-2.069 0.022 3.901
3.864 3.949 4.525
! mass density = 5.5 g cm⁻³
! E_form (uncorrected) = -0.1639 eV/atom
! final energy = -22.7 eV/f.u.
! symmetry = R-3m, No. 166

[21]
! La3ScC | the Alexandria database | GGA-PBE | optimized geometry; values from VASP
&SYSTEM
  ibrav = 0, nat = 5, ntyp = 3
/
ATOMIC_SPECIES
Sc 44.96 Sc.upf
La 138.91 La.upf
C 12.01 C.upf
ATOMIC_POSITIONS angstrom
Sc 0.064 -4.455 -1.014
La -2.006 -1.352 -1.052
La 0.406 -1.950 1.730
La 1.664 -1.153 -1.691
C 0.000 0.000 0.000
CELL_PARAMETERS angstrom
-4.013 -2.703 -2.105
3.328 -2.307 -3.382
0.813 -3.900 3.459
! mass density = 5.4 g cm⁻³
! final energy = -29.8 eV/f.u.
! symmetry = Pm-3m, No. 221
! E_form = 0.496 eV/f.u.
! energy above the most stable polymorph in this dataset = 0 meV/atom

[22]
! Ce2GaAu2 | the Alexandria database | GGA-PBE | optimized geometry; values from VASP
&SYSTEM
  ibrav = 0, nat = 10, ntyp = 3
/
ATOMIC_SPECIES
Ga 69.72 Ga.upf
Ce 140.12 Ce.upf
Au 196.97 Au.upf
ATOMIC_POSITIONS angstrom
Ga 0.000 3.317 4.848
Ga 0.000 0.000 0.000
Ce 0.000 4.141 1.824
Ce 0.000 0.825 3.024
Ce 0.000 2.492 7.872
Ce 0.000 5.809 6.673
Au 1.902 5.280 4.061
Au 1.902 1.964 0.787
Au 1.902 4.670 8.910
Au 1.902 1.353 5.635
CELL_PARAMETERS angstrom
3.803 0.000 0.000
0.000 6.633 0.000
0.000 0.000 9.696
! mass density = 10.1 g cm⁻³
! final energy = -23.8 eV/f.u.
! symmetry = Pbam, No. 55
! E_form = -2.311 eV/f.u.

[23]
! Ta5Re6W | the Alexandria database | GGA-PBE | optimized geometry; values from VASP
&SYSTEM
  ibrav = 0, nat = 12, ntyp = 3
/
ATOMIC_SPECIES
Re 186.21 Re.upf
Ta 180.95 Ta.upf
W 183.84 W.upf
ATOMIC_POSITIONS angstrom
Re -0.255 -0.323 -2.729
Re -4.985 1.684 -0.671
Re -4.683 -1.102 -2.234
Re 0.048 -3.120 -4.298
Re -2.044 -1.760 -0.526
Re -1.742 -4.546 -2.089
Ta -2.314 -2.102 -3.262
Ta -2.602 0.675 -1.707
Ta -4.412 -0.760 0.502
Ta -4.124 -3.537 -1.053
Ta 0.301 -2.775 -1.557
W 0.000 0.000 0.000
CELL_PARAMETERS angstrom
-0.808 2.108 -3.913
0.602 -5.550 -3.114
-6.520 0.581 4.267
! mass density = 18.8 g cm⁻³
! final energy = -151.0 eV/f.u.
! symmetry = Immm, No. 71
! E_form = -4.123 eV/f.u.

[24]
! Er3ScHg2 | the Alexandria database | GGA-PBE | optimized geometry; values from VASP
&SYSTEM
  ibrav = 0, nat = 12, ntyp = 3
/
ATOMIC_SPECIES
Er 167.26 Er.upf
Hg 200.59 Hg.upf
Sc 44.96 Sc.upf
ATOMIC_POSITIONS angstrom
Er -1.710 3.292 4.758
Er 1.592 3.292 2.661
Er 3.302 4.938 0.000
Er 5.013 0.000 2.661
Er 3.302 1.646 0.000
Er 1.710 0.000 4.758
Hg 5.013 3.292 1.863
Hg 1.592 0.000 1.863
Hg -1.710 0.000 5.556
Hg 1.710 3.292 5.556
Sc 0.000 1.646 0.000
Sc 0.000 4.938 0.000
CELL_PARAMETERS angstrom
6.605 0.000 0.000
0.000 6.584 0.000
-3.302 -3.292 7.419
! mass density = 9.8 g cm⁻³
! final energy = -22.3 eV/f.u.
! symmetry = Ibam, No. 72
! E_form = -1.688 eV/f.u.
! energy above the most stable polymorph in this dataset = 68 meV/atom